Here is CaUCuO5 after structural relaxation from Alexandria. Energies are from GGA-PBE.

Lattice parameters (Å, degrees): 5.8138 5.8138 8.0047 102.19 102.19 111.92
Last column: nearest neighbours and their distance in Å.
Fractional positions:
O 0.0861 0.9139 0.2500  2 U 2.17, 1 Ca 2.33
O 0.1101 0.7131 0.8980  1 Cu 1.94, 1 U 2.07
O 0.7131 0.1101 0.3980  1 Cu 1.94, 1 U 2.07
O 0.8899 0.2869 0.1020  1 Cu 1.94, 1 U 2.07
O 0.9139 0.0861 0.7500  2 U 2.17, 1 Ca 2.33
O 0.6366 0.7004 0.9193  1 Cu 1.95, 1 U 2.03
O 0.3634 0.2996 0.0807  1 Cu 1.95, 1 U 2.03
O 0.2869 0.8899 0.6020  1 Cu 1.94, 1 U 2.07
O 0.7004 0.6366 0.4193  1 Cu 1.95, 1 U 2.03
O 0.2996 0.3634 0.5807  1 Cu 1.95, 1 U 2.03
Cu 0.6741 0.3259 0.2500  4 O 1.94-1.95
Cu 0.3259 0.6741 0.7500  4 O 1.94-1.95
Ca 0.3275 0.6725 0.2500  5 O 2.33-2.50
Ca 0.6725 0.3275 0.7500  5 O 2.33-2.50
U 0.0000 0.0000 0.5000  6 O 2.03-2.17
U 0.0000 0.0000 0.0000  6 O 2.03-2.17

Values from the calculation:
Total energy, eV/atom: -7.7082
Uncorrected formation energy, eV per atom: -2.4361
M_tot, μB/atom: 0.11


Here is PmTmZnSi after structural relaxation from Alexandria. Energies are from GGA-PBE.

Lattice parameters (Å, degrees): 4.1860 4.0617 5.8819 90.00 110.84 90.00
Last column: nearest neighbours and their distance in Å.
Fractional positions:
Zn 0.5667 0.5000 0.1334  2 Si 2.55
Si 0.4258 0.0000 0.8516  2 Zn 2.55
Tm 0.8615 0.5000 0.7230  4 Si 3.00, 3 Zn 3.08-3.24
Pm 0.1460 0.0000 0.2921  4 Zn 3.04, 3 Si 3.08-3.20

Values from the calculation:
Total energy, eV/atom: -4.5216
Distance to the lowest polymorph of the same formula, meV per atom: 0.0
Uncorrected formation energy, eV per atom: -0.5419
M_tot, μB/atom: 0.00


Here is AlCu2Re after structural relaxation from Alexandria. Energies are from GGA-PBE.

Lattice parameters (Å, degrees): 2.6381 2.6381 8.0175 90.00 90.00 104.02
Last column: nearest neighbours and their distance in Å.
Fractional positions:
Cu 0.0000 0.0000 0.0001  2 Al 2.52, 6 Cu 2.52-2.64
Cu 0.5000 0.5000 0.2412  6 Cu 2.52-2.64, 2 Re 2.63
Al 0.5000 0.5000 0.7592  2 Cu 2.52, 4 Al 2.64, 2 Re 2.64
Re 0.0000 0.0000 0.4995  4 Cu 2.63-2.93, 4 Re 2.64, 4 Al 2.64-2.94

Values from the calculation:
Total energy, eV/atom: -6.0347
M_tot, μB/atom: 0.00


Here is Ta2OsBr after structural relaxation from Alexandria. Energies are from GGA-PBE.

Lattice parameters (Å, degrees): 4.4984 4.4984 4.4984 113.29 113.29 102.07
Last column: nearest neighbours and their distance in Å.
Fractional positions:
Br 0.2500 0.7500 0.5000  2 Os 2.83, 8 Ta 2.85
Ta 0.5000 0.5000 0.0000  2 Ta 2.83, 4 Br 2.85, 4 Os 2.85
Ta 0.0000 0.0000 0.0000  2 Ta 2.83, 4 Os 2.85, 4 Br 2.85
Os 0.7500 0.2500 0.5000  2 Br 2.83, 8 Ta 2.85

Values from the calculation:
Total energy, eV/atom: -8.5869
Distance to the lowest polymorph of the same formula, meV per atom: 423.8
Uncorrected formation energy, eV per atom: 0.5651
M_tot, μB/atom: 0.00


Here is LiSi2As after structural relaxation from Alexandria. Energies are from GGA-PBE.

Lattice parameters (Å, degrees): 5.0926 5.0926 2.7945 90.00 90.00 117.57
Last column: nearest neighbours and their distance in Å.
Fractional positions:
Si 0.5000 0.5000 0.0000  4 Si 2.64-2.79, 4 Li 2.90, 4 As 2.90
Si 0.0000 0.0000 0.0000  4 Si 2.64-2.79, 4 As 2.90, 4 Li 2.90
As 0.5000 0.0000 0.5000  2 Li 2.64, 2 As 2.79, 8 Si 2.90
Li 0.0000 0.5000 0.5000  2 As 2.64, 2 Li 2.79, 8 Si 2.90

Values from the calculation:
Total energy, eV/atom: -4.1904
Uncorrected formation energy, eV per atom: 0.1619
M_tot, μB/atom: 0.00


Here is CaSi2Se2 after structural relaxation from Alexandria. Energies are from GGA-PBE.

Lattice parameters (Å, degrees): 7.9277 7.9277 3.8125 90.00 90.00 90.00
Last column: nearest neighbours and their distance in Å.
Fractional positions:
Se 0.3463 0.8463 0.0000  2 Si 2.47
Se 0.8463 0.6537 0.0000  2 Si 2.47
Se 0.1537 0.3463 0.0000  2 Si 2.47
Se 0.6537 0.1537 0.0000  2 Si 2.47
Si 0.2944 0.2056 0.5000  2 Se 2.47
Si 0.2056 0.7056 0.5000  2 Se 2.47
Si 0.7056 0.7944 0.5000  2 Se 2.47
Si 0.7944 0.2944 0.5000  2 Se 2.47
Ca 0.5000 0.5000 0.0000  4 Se 3.00
Ca 0.0000 0.0000 0.0000  4 Se 3.00

Values from the calculation:
Total energy, eV/atom: -4.1693
Distance to the lowest polymorph of the same formula, meV per atom: 219.9
Uncorrected formation energy, eV per atom: -0.2060
M_tot, μB/atom: 0.00


Here is SmEr2Tm after structural relaxation from Alexandria. Energies are from GGA-PBE.

Lattice parameters (Å, degrees): 5.0005 4.9896 4.9896 90.00 90.00 90.00
Last column: nearest neighbours and their distance in Å.
Fractional positions:
Er 0.0000 0.5000 0.0000  4 Er 3.53, 4 Tm 3.53, 4 Sm 3.53
Er 0.0000 0.0000 0.5000  4 Er 3.53, 4 Tm 3.53, 4 Sm 3.53
Tm 0.5000 0.5000 0.5000  4 Sm 3.53, 8 Er 3.53
Sm 0.5000 0.0000 0.0000  4 Tm 3.53, 8 Er 3.53

Values from the calculation:
Total energy, eV/atom: -4.5546
Distance to the lowest polymorph of the same formula, meV per atom: 17.1
M_tot, μB/atom: 0.00


Here is Co2NiPt4 after structural relaxation from Alexandria. Energies are from GGA-PBE.

Lattice parameters (Å, degrees): 5.3518 5.3518 8.7720 90.00 90.00 121.00
Last column: nearest neighbours and their distance in Å.
Fractional positions:
Pt 0.4789 0.7396 0.5000  2 Ni 2.57, 4 Co 2.63-2.72, 4 Pt 2.68-2.76
Pt 0.5000 0.0000 0.7748  2 Co 2.51, 4 Pt 2.67-2.76, 2 Ni 2.68
Pt 0.5000 0.0000 0.2252  2 Co 2.51, 4 Pt 2.67-2.76, 2 Ni 2.68
Pt 0.2604 0.5211 0.0000  2 Ni 2.57, 4 Co 2.63-2.72, 4 Pt 2.68-2.76
Pt 0.0000 0.5000 0.7252  2 Co 2.51, 4 Pt 2.67-2.76, 2 Ni 2.68
Pt 0.7396 0.4789 0.0000  2 Ni 2.57, 4 Co 2.63-2.72, 4 Pt 2.68-2.76
Pt 0.0000 0.5000 0.2748  2 Co 2.51, 4 Pt 2.67-2.76, 2 Ni 2.68
Pt 0.5211 0.2604 0.5000  2 Ni 2.57, 4 Co 2.63-2.72, 4 Pt 2.68-2.76
Co 0.7881 0.9979 0.0000  1 Co 2.26, 2 Pt 2.51
Co 0.2119 0.0021 0.0000  1 Co 2.26, 2 Pt 2.51
Co 0.9979 0.7881 0.5000  1 Co 2.26, 2 Pt 2.51
Co 0.0021 0.2119 0.5000  1 Co 2.26, 2 Pt 2.51
Ni 0.5000 0.5000 0.7500  8 Pt 2.57-2.68
Ni 0.5000 0.5000 0.2500  8 Pt 2.57-2.68

Values from the calculation:
Total energy, eV/atom: -6.1364
Distance to the lowest polymorph of the same formula, meV per atom: 27.6
M_tot, μB/atom: 0.88


Here is Nd3Se4 after structural relaxation from Alexandria. Energies are from GGA-PBE.

Lattice parameters (Å, degrees): 7.7512 7.7512 7.7512 109.47 109.47 109.47
Last column: nearest neighbours and their distance in Å.
Fractional positions:
Se 0.5000 0.0000 0.8515  6 Nd 3.01-3.19
Se 0.1485 0.1485 0.1485  6 Nd 3.01-3.19
Se 0.6485 0.6485 0.6485  6 Nd 3.01-3.19
Se 0.3515 0.5000 0.0000  6 Nd 3.01-3.19
Se 0.5000 0.0000 0.3515  6 Nd 3.01-3.19
Se 0.0000 0.3515 0.5000  6 Nd 3.01-3.19
Se 0.0000 0.8515 0.5000  6 Nd 3.01-3.19
Se 0.8515 0.5000 0.0000  6 Nd 3.01-3.19
Nd 0.6250 0.3750 0.2500  8 Se 3.01-3.19
Nd 0.2500 0.6250 0.3750  8 Se 3.01-3.19
Nd 0.3750 0.2500 0.6250  8 Se 3.01-3.19
Nd 0.7500 0.8750 0.1250  8 Se 3.01-3.19
Nd 0.8750 0.1250 0.7500  8 Se 3.01-3.19
Nd 0.1250 0.7500 0.8750  8 Se 3.01-3.19

Values from the calculation:
Total energy, eV/atom: -5.8897
Distance to the lowest polymorph of the same formula, meV per atom: 0.0
Uncorrected formation energy, eV per atom: -1.8552
M_tot, μB/atom: 0.00


Here is ReSb2Br after structural relaxation from Alexandria. Energies are from GGA-PBE.

Lattice parameters (Å, degrees): 6.6846 6.6846 7.7693 64.52 64.52 90.00
Last column: nearest neighbours and their distance in Å.
Fractional positions:
Sb 0.7115 0.1250 0.2500  2 Re 2.52
Sb 0.3750 0.2885 0.7500  2 Re 2.52
Sb 0.8750 0.9615 0.7500  2 Re 2.52
Sb 0.0385 0.6250 0.2500  2 Re 2.52
Re 0.0000 0.0000 0.0000  4 Sb 2.52
Re 0.7500 0.2500 0.5000  4 Sb 2.52
Br 0.5000 0.5000 0.0000  4 Sb 3.20
Br 0.2500 0.7500 0.5000  4 Sb 3.20

Values from the calculation:
Total energy, eV/atom: -5.0085
Distance to the lowest polymorph of the same formula, meV per atom: 369.4
Uncorrected formation energy, eV per atom: 0.5829
M_tot, μB/atom: 0.00


Here is TmLuBeTc after structural relaxation from Alexandria. Energies are from GGA-PBE.

Lattice parameters (Å, degrees): 4.7566 4.7566 4.7566 60.00 60.00 60.00
Last column: nearest neighbours and their distance in Å.
Fractional positions:
Tc 0.2500 0.2500 0.2500  4 Tm 2.91, 4 Lu 2.91
Tm 0.0000 0.0000 0.0000  4 Be 2.91, 4 Tc 2.91
Be 0.7500 0.7500 0.7500  4 Tm 2.91, 4 Lu 2.91
Lu 0.5000 0.5000 0.5000  4 Tc 2.91, 4 Be 2.91

Values from the calculation:
Total energy, eV/atom: -5.7684
M_tot, μB/atom: 0.00


Here is U2Be3SiPt4 after structural relaxation from Alexandria. Energies are from GGA-PBE.

Lattice parameters (Å, degrees): 4.0366 4.0366 9.7058 90.00 90.00 90.00
Last column: nearest neighbours and their distance in Å.
Fractional positions:
Pt 0.5000 0.5000 0.0000  4 Be 2.35
Pt 0.0000 0.0000 0.0000  4 Be 2.35
Pt 0.0000 0.5000 0.3630  3 Be 2.32-2.42, 2 Si 2.42
Pt 0.5000 0.0000 0.6370  3 Be 2.32-2.42, 2 Si 2.42
Be 0.0000 0.5000 0.1239  5 Pt 2.32-2.35
Be 0.0000 0.0000 0.5000  4 Pt 2.42
Be 0.5000 0.0000 0.8761  5 Pt 2.32-2.35
U 0.5000 0.0000 0.2525  8 Pt 3.05-3.17, 6 Be 3.12-3.14, 2 Si 3.14
U 0.0000 0.5000 0.7475  8 Pt 3.05-3.17, 6 Be 3.12-3.14, 2 Si 3.14
Si 0.5000 0.5000 0.5000  4 Pt 2.42

Values from the calculation:
Total energy, eV/atom: -6.9885
Uncorrected formation energy, eV per atom: -0.6544
M_tot, μB/atom: 0.44